Density functional theory data (PBE-GGA) for a geometry-optimized K2Sr2Mg structure.

```
data_K2Sr2Mg
_cell_length_a 4.887
_cell_length_b 4.887
_cell_length_c 22.672
_cell_angle_alpha 90.00
_cell_angle_beta 90.00
_cell_angle_gamma 90.00
_space_group_name_H-M_alt 'I 4/m m m'
_space_group_IT_number 139
_space_group_name_Hall '-I 4 2'
loop_
_atom_site_label
_atom_site_type_symbol
_atom_site_fract_x
_atom_site_fract_y
_atom_site_fract_z
_atom_site_occupancy
K1 K 0.000 0.500 0.250 1
Sr1 Sr 0.000 0.000 0.084 1
Mg1 Mg 0.000 0.000 0.500 1
```

distance to the lowest polymorph of the same formula = 71 meV/atom
formation energy from the elements = 0.29 eV/atom


Density functional theory data (PBE-GGA) for a geometry-optimized Na12MgCd7 structure.

```
data_Na12MgCd7
_cell_length_a 14.3163
_cell_length_b 14.3163
_cell_length_c 9.7154
_cell_angle_alpha 90.00
_cell_angle_beta 90.00
_cell_angle_gamma 120.00
_space_group_name_H-M_alt 'R -3'
_space_group_IT_number 148
_space_group_name_Hall '-R 3'
loop_
_atom_site_label
_atom_site_type_symbol
_atom_site_fract_x
_atom_site_fract_y
_atom_site_fract_z
_atom_site_occupancy
Na1 Na 0.0494 0.2554 0.4369 1
Na2 Na 0.0540 0.8008 0.9406 1
Mg1 Mg 0.0000 0.0000 0.5000 1
Cd1 Cd 0.0000 0.0000 0.0000 1
Cd2 Cd 0.9999 0.1326 0.7470 1
```

distance to the lowest polymorph of the same formula = 0 meV/atom
formation energy from the elements = -0.05 eV/atom


Density functional theory data (PBE-GGA) for a geometry-optimized ScAg2Pb structure.

```
data_ScAg2Pb
_cell_length_a 4.342
_cell_length_b 4.310
_cell_length_c 4.537
_cell_angle_alpha 90.00
_cell_angle_beta 90.22
_cell_angle_gamma 90.00
_space_group_name_H-M_alt 'P 1 2/m 1'
_space_group_IT_number 10
_space_group_name_Hall '-P 2y'
loop_
_atom_site_label
_atom_site_type_symbol
_atom_site_fract_x
_atom_site_fract_y
_atom_site_fract_z
_atom_site_occupancy
Sc1 Sc 0.000 0.000 0.000 1
Ag1 Ag 0.000 0.500 0.500 1
Ag2 Ag 0.500 0.000 0.500 1
Pb1 Pb 0.500 0.500 0.000 1
```

formation energy from the elements = -0.16 eV/atom


Density functional theory data (PBE-GGA) for a geometry-optimized ZnSbC2S structure.

```
data_ZnSbC2S
_cell_length_a 3.965
_cell_length_b 3.965
_cell_length_c 5.254
_cell_angle_alpha 90.00
_cell_angle_beta 90.00
_cell_angle_gamma 90.00
_space_group_name_H-M_alt 'P 4/m m m'
_space_group_IT_number 123
_space_group_name_Hall '-P 4 2'
loop_
_atom_site_label
_atom_site_type_symbol
_atom_site_fract_x
_atom_site_fract_y
_atom_site_fract_z
_atom_site_occupancy
Zn1 Zn 0.000 0.000 0.000 1
Sb1 Sb 0.500 0.500 0.500 1
C1 C 0.000 0.500 0.000 1
S1 S 0.000 0.000 0.500 1
```

formation energy without anion corrections = 1948 meV/atom